The following is a DFT calculation (PBE-GGA) of an optimized crystal structure of Ti2SiRh8.

a = 14.4152 Å, b = 4.3267 Å, c = 5.5788 Å
α = 90.00°, β = 112.66°, γ = 90.00°
Space group C2/m (No. 12)
Inequivalent atoms, fractional coordinates:
Ti1 0.1958 0.0000 0.1950 x4
Si1 0.0000 0.5000 0.5000 x2
Rh1 0.0006 0.0000 0.2437 x4
Rh2 0.1369 0.5000 0.9001 x4
Rh3 0.1378 0.5000 0.3764 x4
Rh4 0.1785 0.0000 0.6793 x4

Output
Its formation energy (no corrections) is -515 meV per atom.

=====

The following is a DFT calculation (PBE-GGA) of an optimized crystal structure of YNb2PbI.

a = 5.2895 Å, b = 5.2895 Å, c = 6.0235 Å
α = 90.00°, β = 90.00°, γ = 90.00°
Space group P4/mmm (No. 123)
Inequivalent atoms, fractional coordinates:
Y1 0.0000 0.0000 0.0000 x1
Nb1 0.0000 0.5000 0.5000 x2
Pb1 0.5000 0.5000 0.5000 x1
I1 0.5000 0.5000 0.0000 x1

Output
Its formation energy (no corrections) is 1549 meV per atom.

=====

The following is a DFT calculation (PBE-GGA) of an optimized crystal structure of CuBi2Au.

a = 7.7321 Å, b = 7.7321 Å, c = 6.5272 Å
α = 90.00°, β = 90.00°, γ = 90.00°
Space group I-42d (No. 122)
Inequivalent atoms, fractional coordinates:
Cu1 0.0000 0.0000 0.0000 x4
Bi1 0.2316 0.2500 0.1250 x8
Au1 0.0000 0.0000 0.5000 x4

Output
As for the energy of formation: 234 meV per atom.

=====

The following is a DFT calculation (PBE-GGA) of an optimized crystal structure of SmMg2Zn2Ge2.

a = 4.5201 Å, b = 4.5201 Å, c = 23.3600 Å
α = 90.00°, β = 90.00°, γ = 120.00°
Space group R-3m (No. 166, hexagonal axes)
Inequivalent atoms, fractional coordinates:
Sm1 0.0000 0.0000 0.0000 x3
Mg1 0.0000 0.0000 0.1385 x6
Zn1 0.0000 0.0000 0.4368 x6
Ge1 0.0000 0.0000 0.2578 x6

Output
As for the energy of formation: -276 meV per atom.

=====

The following is a DFT calculation (PBE-GGA) of an optimized crystal structure of Y2MgSbH.

a = 4.7922 Å, b = 4.7922 Å, c = 4.5126 Å
α = 90.00°, β = 90.00°, γ = 90.00°
Space group P4/mmm (No. 123)
Inequivalent atoms, fractional coordinates:
Y1 0.0000 0.5000 0.0000 x2
Mg1 0.0000 0.0000 0.5000 x1
Sb1 0.5000 0.5000 0.5000 x1
H1 0.0000 0.0000 0.0000 x1

Output
As for the total energy: -4.8644 eV/atom.

=====

The following is a DFT calculation (PBE-GGA) of an optimized crystal structure of SrTlBr2.

a = 3.7794 Å, b = 3.7794 Å, c = 10.7244 Å
α = 90.00°, β = 90.00°, γ = 90.00°
Space group P4/mmm (No. 123)
Inequivalent atoms, fractional coordinates:
Sr1 0.0000 0.0000 0.0000 x1
Tl1 0.0000 0.0000 0.5000 x1
Br1 0.5000 0.5000 0.1642 x2

Output
Its formation energy (no corrections) is -1272 meV per atom. The calculation puts the energy above the most stable polymorph in this dataset at 77 meV/atom.

=====

The following is a DFT calculation (PBE-GGA) of an optimized crystal structure of Ce2NF3.

a = 13.7479 Å, b = 4.0177 Å, c = 7.0830 Å
α = 90.00°, β = 100.62°, γ = 90.00°
Space group C2/m (No. 12)
Inequivalent atoms, fractional coordinates:
Ce1 0.1048 0.0000 0.3885 x4
Ce2 0.1211 0.5000 0.8482 x4
N1 0.0661 0.0000 0.6934 x4
F1 0.0671 0.5000 0.1721 x4
F2 0.1899 0.5000 0.5413 x4
F3 0.1968 0.0000 0.0852 x4

Output
Its formation energy (no corrections) is -3164 meV per atom.

=====

The following is a DFT calculation (PBE-GGA) of an optimized crystal structure of Tl2Os2PbO7.

a = 5.4432 Å, b = 5.4430 Å, c = 12.5894 Å
α = 90.00°, β = 102.38°, γ = 90.00°
Space group C2/m (No. 12)
Inequivalent atoms, fractional coordinates:
Tl1 0.1951 0.0000 0.3889 x4
Os1 0.0888 0.5000 0.1789 x4
Pb1 0.0000 0.0000 0.0000 x2
O1 0.0000 0.5000 0.0000 x2
O2 0.1650 0.2500 0.8287 x8
O3 0.1662 0.5000 0.3353 x4

Output
Its formation energy (no corrections) is -855 meV per atom.

=====

Respective theoretical density values: 9.80, 6.00, 11.55, 5.73, 5.21, 4.90, 6.07, 10.10 g cm⁻³.
Respective total magnetization values: 0.0, 2.2, 0.0, 0.0, 0.0, 0.0, 2.0, 0.0 μB per formula unit.